(1)
# SrLi4ZnAg2

An optimized crystal structure of SrLi4ZnAg2 (PBE, the Alexandria database).

Summary:
space-group type = R-3m
total moment = 0.000 μB per cell
E_tot = -17.38 eV/cell

a b c (Å): 4.5297 4.5297 9.5692
angles (deg): 76.31 76.31 60.00
Element x y z (fractional)
Sr  0.0000  0.0000  0.0000
Li  0.4084  0.4084  0.7748
Li  0.8649  0.8649  0.4052
Li  0.1351  0.1351  0.5948
Li  0.5916  0.5916  0.2252
Zn  0.5000  0.5000  0.5000
Ag  0.7630  0.7630  0.7110
Ag  0.2370  0.2370  0.2890

(2)
# ZrCdP2

An optimized crystal structure of ZrCdP2 (PBE, the Alexandria database).

Summary:
space-group type = Pm
total moment = 0.000 μB per cell
E_tot = -22.25 eV/cell

a b c (Å): 3.7773 3.7774 6.6743
angles (deg): 55.68 90.00 90.00
Element x y z (fractional)
Cd  0.5000  0.6740  0.8255
P  0.0000  0.0980  0.9015
P  0.5000  0.1603  0.3398
Zr  0.0000  0.5677  0.4332

Number 2 is which compound?
ZrCdP2